# 1
The following is a PBE-GGA calculation of crystalline Sr2Be2Si at its relaxed geometry, from the Alexandria database.

Calculated values
DOS at the Fermi energy   0.270 states/eV per atom
Distance to the lowest polymorph of the same formula   0 meV/atom
ΔE_f (raw)   1.193 eV per formula unit

abc: 6.708 6.708 4.809
angles: 90.00 90.00 90.00
Atoms (fractional coordinates):
Sr1 0.196 0.304 0.000
Sr2 0.304 0.804 0.000
Sr3 0.696 0.196 0.000
Sr4 0.804 0.696 0.000
Be1 0.111 0.611 0.500
Be2 0.389 0.111 0.500
Be3 0.611 0.889 0.500
Be4 0.889 0.389 0.500
Si1 0.000 0.000 0.500
Si2 0.500 0.500 0.500

=====

# 2
The following is a PBE-GGA calculation of crystalline CeCoNiGe at its relaxed geometry, from the Alexandria database.

Calculated values
DOS at the Fermi energy   0.836 states/eV per atom
ΔE_f   -393 meV/atom

abc: 4.304 4.591 4.591
angles: 49.19 90.00 90.00
Atoms (fractional coordinates):
Ce1 0.000 0.000 0.000
Co1 0.000 0.744 0.744
Ni1 0.500 0.317 0.317
Ge1 0.500 0.628 0.628

=====

# 3
The following is a PBE-GGA calculation of crystalline Sc2NiPb at its relaxed geometry, from the Alexandria database.

Calculated values
DOS at the Fermi energy   0.642 states/eV per atom
ΔE_f   -133 meV/atom

abc: 3.366 4.296 6.025
angles: 90.00 90.00 90.00
Atoms (fractional coordinates):
Sc1 0.000 0.000 0.000
Sc2 0.500 0.500 0.295
Ni1 0.000 0.000 0.421
Pb1 0.500 0.500 0.775

=====

# 4
The following is a PBE-GGA calculation of crystalline Er2Zn3Pd at its relaxed geometry, from the Alexandria database.

Calculated values
DOS at the Fermi energy   0.689 states/eV per atom
ΔE_f   -535 meV/atom

abc: 8.912 8.441 5.626
angles: 75.69 66.59 37.71
Atoms (fractional coordinates):
Er1 0.244 0.756 0.756
Er2 0.250 0.250 0.250
Er3 0.750 0.750 0.750
Er4 0.756 0.244 0.244
Zn1 0.170 0.665 0.335
Zn2 0.335 0.830 0.170
Zn3 0.336 0.336 0.664
Zn4 0.664 0.664 0.336
Zn5 0.665 0.170 0.830
Zn6 0.830 0.335 0.665
Pd1 0.167 0.167 0.833
Pd2 0.833 0.833 0.167